Compound: Er12CoSn6
Source: Alexandria
Functional: PBE
Structure: relaxed

Cell lengths 8.4885, 8.4885, 8.4885 Å; angles 99.42, 99.42, 99.42 degrees
Fractional positions:
1 Sn 0.1208 0.6426 0.3117
2 Sn 0.3574 0.6883 0.8792
3 Sn 0.6426 0.3117 0.1208
4 Sn 0.3117 0.1208 0.6426
5 Sn 0.6883 0.8792 0.3574
6 Sn 0.8792 0.3574 0.6883
7 Er 0.6929 0.9459 0.0106
8 Er 0.4236 0.5552 0.1978
9 Er 0.1978 0.4236 0.5552
10 Er 0.3071 0.0541 0.9894
11 Er 0.9894 0.3071 0.0541
12 Er 0.5764 0.4448 0.8022
13 Er 0.4448 0.8022 0.5764
14 Er 0.9459 0.0106 0.6929
15 Er 0.5552 0.1978 0.4236
16 Er 0.0541 0.9894 0.3071
17 Er 0.8022 0.5764 0.4448
18 Er 0.0106 0.6929 0.9459
19 Co 0.0000 0.0000 0.0000

## Properties
As for the formation energy: -0.363 eV per atom. The final energy comes out at -4.88 eV/atom. For the magnetic moment, the calculation gives 0.00 μB/f.u.

***

Compound: Tb2SmY3As6
Source: Alexandria
Functional: PBE
Structure: relaxed

Cell lengths 7.1786, 7.1786, 7.1763 Å; angles 99.59, 99.59, 119.99 degrees
Fractional positions:
1 Tb 0.3332 0.6668 0.0000
2 Tb 0.6668 0.3332 0.0000
3 Sm 0.0000 0.0000 0.0000
4 As 0.9159 0.5801 0.7478
5 As 0.4199 0.0841 0.2522
6 As 0.5801 0.9159 0.7478
7 As 0.0841 0.4199 0.2522
8 As 0.7481 0.7481 0.2520
9 As 0.2519 0.2519 0.7480
10 Y 0.5000 0.5000 0.5000
11 Y 0.8339 0.1661 0.5000
12 Y 0.1661 0.8339 0.5000

## Properties
As for the formation energy: -1.546 eV per atom. The final energy comes out at -6.65 eV/atom. For the magnetic moment, the calculation gives 0.00 μB/f.u.

***

Compound: CeErThAg
Source: Alexandria
Functional: PBE
Structure: relaxed

Cell lengths 5.2624, 5.2624, 5.2624 Å; angles 60.00, 60.00, 60.00 degrees
Fractional positions:
1 Th 0.0000 0.0000 0.0000
2 Er 0.5000 0.5000 0.5000
3 Ag 0.2500 0.2500 0.2500
4 Ce 0.7500 0.7500 0.7500

## Properties
As for the formation energy: 0.124 eV per atom. The final energy comes out at -5.07 eV/atom. For the magnetic moment, the calculation gives 0.01 μB/f.u.

***

Compound: TcBrCl
Source: Alexandria
Functional: PBE
Structure: relaxed

Cell lengths 4.3738, 4.3738, 4.3738 Å; angles 60.00, 60.00, 60.00 degrees
Each line ends with the local moment (μB).
Fractional positions:
1 Cl 0.5000 0.5000 0.5000  0.01
2 Br 0.0000 0.0000 0.0000  0.00
3 Tc 0.7500 0.7500 0.7500  0.61

## Properties
As for the uncorrected formation energy: 0.339 eV/atom. The relative energy among the computed polymorphs is 402 meV/atom. The final energy comes out at -4.29 eV/atom. For the magnetic moment, the calculation gives 0.70 μB/f.u.

***

Compound: Th6GaC3S2
Source: Alexandria
Functional: PBE
Structure: relaxed

Cell lengths 3.8441, 8.1955, 9.0148 Å; angles 106.39, 102.31, 90.00 degrees
Fractional positions:
1 S 0.8318 0.6645 0.6636
2 S 0.1682 0.3355 0.3364
3 C 0.8314 0.1716 0.6627
4 C 0.5000 0.5000 0.0000
5 C 0.1686 0.8284 0.3373
6 Th 0.3411 0.3960 0.6822
7 Th 0.0068 0.7221 0.0136
8 Th 0.6761 0.0622 0.3521
9 Th 0.6589 0.6040 0.3178
10 Th 0.9932 0.2779 0.9864
11 Th 0.3239 0.9378 0.6479
12 Ga 0.5000 0.0000 0.0000

## Properties
As for the uncorrected formation energy: -0.877 eV/atom. The final energy comes out at -7.83 eV/atom. For the magnetic moment, the calculation gives 0.00 μB/f.u.

***

Compound: TmAsS
Source: Alexandria
Functional: PBE
Structure: relaxed

Cell lengths 3.7851, 3.7851, 8.8745 Å; angles 102.31, 102.31, 90.00 degrees
Fractional positions:
1 Tm 0.6467 0.6467 0.2933
2 Tm 0.3533 0.3533 0.7067
3 S 0.8123 0.8123 0.6247
4 S 0.1877 0.1877 0.3753
5 As 0.5000 0.0000 0.0000
6 As 0.0000 0.5000 0.0000

## Properties
As for the uncorrected formation energy: -1.507 eV/atom. The final energy comes out at -5.92 eV/atom. For the magnetic moment, the calculation gives 0.00 μB/f.u.

***

Compound: Ta2MoSe
Source: Alexandria
Functional: PBE
Structure: relaxed

Cell lengths 8.1776, 8.1776, 8.1776 Å; angles 22.78, 22.78, 22.78 degrees
Fractional positions:
1 Ta 0.9991 0.9991 0.9991
2 Ta 0.5009 0.5009 0.5009
3 Mo 0.2500 0.2500 0.2500
4 Se 0.7500 0.7500 0.7500

## Properties
As for the uncorrected formation energy: 0.046 eV/atom. The final energy comes out at -9.46 eV/atom. For the magnetic moment, the calculation gives 0.00 μB/f.u.

***

Compound: CoSn2Ru
Source: Alexandria
Functional: PBE
Structure: relaxed

Cell lengths 6.9812, 6.9812, 5.7862 Å; angles 52.90, 52.90, 90.00 degrees
Fractional positions:
1 Co 0.5000 0.5000 0.0000
2 Co 0.2500 0.7500 0.5000
3 Sn 0.3750 0.3936 0.7500
4 Sn 0.8750 0.8564 0.7500
5 Sn 0.6064 0.1250 0.2500
6 Sn 0.1436 0.6250 0.2500
7 Ru 0.7500 0.2500 0.5000
8 Ru 0.0000 0.0000 0.0000

## Properties
As for the formation energy: 0.494 eV per atom. The final energy comes out at -5.60 eV/atom. For the magnetic moment, the calculation gives 0.00 μB/f.u.

***

Compound: Ba2TlAg
Source: Alexandria
Functional: PBE
Structure: relaxed

Cell lengths 4.6431, 4.6431, 9.6497 Å; angles 76.04, 76.04, 60.03 degrees
Fractional positions:
1 Tl 0.7500 0.7500 0.7500
2 Ag 0.2500 0.2500 0.2500
3 Ba 0.5059 0.5059 0.4826
4 Ba 0.9941 0.9941 0.0174

## Properties
As for the formation energy: -0.191 eV per atom. The relative energy among the computed polymorphs is 123 meV/atom. The final energy comes out at -2.46 eV/atom. For the magnetic moment, the calculation gives 0.00 μB/f.u.

***

Compound: RbY2AuSe4
Source: Alexandria
Functional: PBE
Structure: relaxed

Cell lengths 4.2057, 7.5077, 14.7783 Å; angles 90.00, 90.00, 106.27 degrees
Fractional positions:
1 Se 0.4484 0.8967 0.7500
2 Se 0.2606 0.5211 0.3985
3 Se 0.7394 0.4789 0.8985
4 Se 0.7394 0.4789 0.6015
5 Se 0.0000 0.0000 0.5000
6 Se 0.5516 0.1033 0.2500
7 Se 0.0000 0.0000 0.0000
8 Se 0.2606 0.5211 0.1015
9 Y 0.3700 0.7401 0.5690
10 Y 0.6300 0.2599 0.0690
11 Y 0.6300 0.2599 0.4310
12 Y 0.3700 0.7401 0.9310
13 Rb 0.8761 0.7522 0.2500
14 Rb 0.1239 0.2478 0.7500
15 Au 0.1577 0.3154 0.2500
16 Au 0.8423 0.6846 0.7500

## Properties
As for the uncorrected formation energy: -1.432 eV/atom. The final energy comes out at -5.32 eV/atom. For the magnetic moment, the calculation gives 0.00 μB/f.u.

***

Compound: LiNdGa6
Source: Alexandria
Functional: PBE
Structure: relaxed

Cell lengths 4.3989, 5.3971, 6.5393 Å; angles 90.00, 90.00, 90.00 degrees
Fractional positions:
1 Ga 0.0000 0.1768 0.2815
2 Ga 0.0000 0.6679 0.5000
3 Ga 0.0000 0.1768 0.7185
4 Ga 0.5000 0.8584 0.7037
5 Ga 0.5000 0.2278 0.0000
6 Ga 0.5000 0.8584 0.2963
7 Li 0.5000 0.3722 0.5000
8 Nd 0.0000 0.6618 0.0000

## Properties
As for the formation energy: -0.305 eV per atom. The final energy comes out at -3.41 eV/atom. For the magnetic moment, the calculation gives 0.00 μB/f.u.

***

Compound: Tm4Ge2Ir
Source: Alexandria
Functional: PBE
Structure: relaxed

Cell lengths 4.3092, 7.1976, 7.0697 Å; angles 119.66, 107.74, 90.00 degrees
Fractional positions:
1 Tm 0.6122 0.2960 0.2244
2 Tm 0.3878 0.7040 0.7756
3 Tm 0.1296 0.7809 0.2592
4 Tm 0.8704 0.2191 0.7408
5 Ir 0.0000 0.0000 0.0000
6 Ge 0.2341 0.2348 0.4682
7 Ge 0.7659 0.7652 0.5318

## Properties
As for the formation energy: -0.644 eV per atom. The final energy comes out at -5.78 eV/atom. For the magnetic moment, the calculation gives 0.00 μB/f.u.

***

Q: Which value of final energy does entry 8 give?
A: -5.60 eV/atom

***

Q: Look up the final energy of the eleventh one.
A: -3.41 eV/atom